[1]
Here is an optimized crystal structure of InOs3W from the Alexandria database. Energies are from GGA-PBE.

Unit cell a=4.743 b=4.743 c=4.743 alpha=90.00 beta=90.00 gamma=90.00
Space group Pm-3m (No. 221)
Inequivalent atoms, fractional coordinates:
1 In 0.000 0.000 0.000
2 Os 0.000 0.500 0.500
3 W 0.500 0.500 0.500


[2]
Here is an optimized crystal structure of AlAgSn from the Alexandria database. Energies are from GGA-PBE.

Unit cell a=6.658 b=12.673 c=3.409 alpha=90.00 beta=120.46 gamma=90.00
Space group C2/m (No. 12)
Inequivalent atoms, fractional coordinates:
1 Al 0.231 0.000 0.234
2 Ag 0.000 0.379 0.000
3 Sn 0.000 0.183 0.500


[3]
Here is an optimized crystal structure of MgTlCu2 from the Alexandria database. Energies are from GGA-PBE.

Unit cell a=3.304 b=3.441 c=6.120 alpha=90.00 beta=91.01 gamma=90.00
Space group P2/m (No. 10)
Inequivalent atoms, fractional coordinates:
1 Mg 0.000 0.000 0.000
2 Tl 0.000 0.000 0.500
3 Cu 0.492 0.500 0.784


[4]
Here is an optimized crystal structure of RbSrPt2 from the Alexandria database. Energies are from GGA-PBE.

Unit cell a=8.476 b=8.476 c=5.945 alpha=90.00 beta=90.00 gamma=90.00
Space group I-42d (No. 122)
Inequivalent atoms, fractional coordinates:
1 Rb 0.000 0.000 0.000
2 Sr 0.000 0.000 0.500
3 Pt 0.237 0.750 0.625

Summary:
ΔE to the lowest computed polymorph	0.000	eV/f.u.


[5]
Here is an optimized crystal structure of LaTlNF2 from the Alexandria database. Energies are from GGA-PBE.

Unit cell a=4.830 b=4.830 c=4.373 alpha=90.00 beta=90.00 gamma=90.00
Space group P4/mmm (No. 123)
Inequivalent atoms, fractional coordinates:
1 La 0.000 0.000 0.000
2 Tl 0.500 0.500 0.500
3 N 0.000 0.000 0.500
4 F 0.000 0.500 0.000

Summary:
ΔE to the lowest computed polymorph	0.000	eV/f.u.
energy relative to the elements, uncorrected	-904	kJ/mol of formula units


[6]
Here is an optimized crystal structure of KPI3 from the Alexandria database. Energies are from GGA-PBE.

Unit cell a=6.220 b=7.062 c=11.706 alpha=73.75 beta=78.12 gamma=88.40
Space group P-1 (No. 2)
Inequivalent atoms, fractional coordinates:
1 K 0.235 0.226 0.062
2 P 0.356 0.894 0.540
3 I 0.155 0.090 0.675
4 I 0.209 0.712 0.090
5 I 0.453 0.354 0.318

Summary:
ΔE to the lowest computed polymorph	0.000	eV/f.u.
energy relative to the elements, uncorrected	-290	kJ/mol of formula units


Number 1: calculated density 13.53 g/cm³, final energy -7.84 eV per atom, D(E_F) 5.204 states/eV per cell. Number 2: calculated density 6.79 g/cm³, final energy -3.48 eV per atom, D(E_F) 4.517 states/eV per cell. Number 3: calculated density 8.49 g/cm³, final energy -2.95 eV per atom, D(E_F) 0.852 states/eV per cell. Number 4: calculated density 8.76 g/cm³, final energy -3.69 eV per atom, D(E_F) 3.011 states/eV per cell. Number 5: calculated density 6.43 g/cm³, final energy -5.75 eV per atom, D(E_F) 0.485 states/eV per cell. Number 6: calculated density 3.10 g/cm³, final energy -2.83 eV per atom, D(E_F) 0.000 states/eV per cell.